No. 1
Computed, not measured: a relaxed DyThZnPd crystal at the PBE level of DFT.

Summary:
* DFT total energy: -5.091 eV/atom
* DFT formation energy: -0.469 eV per atom

Cell lengths 5.0973, 5.0973, 5.0973 Å; angles 60.00, 60.00, 60.00 degrees
Closest atoms and distances in Å follow each position.
Element x y z (fractional)
1 Zn 0.7500 0.7500 0.7500  4 Th 3.12, 4 Dy 3.12
2 Pd 0.2500 0.2500 0.2500  4 Th 3.12, 4 Dy 3.12
3 Th 0.0000 0.0000 0.0000  4 Zn 3.12, 4 Pd 3.12
4 Dy 0.5000 0.5000 0.5000  4 Pd 3.12, 4 Zn 3.12


No. 2
Computed, not measured: a relaxed BaYZn2Ge2 crystal at the PBE level of DFT.

Summary:
* DFT total energy: -3.923 eV/atom
* DFT formation energy: -0.561 eV per atom

Cell lengths 4.3044, 4.3044, 9.0060 Å; angles 90.00, 90.00, 120.00 degrees
Closest atoms and distances in Å follow each position.
Element x y z (fractional)
1 Ba 0.0000 0.0000 0.0000  6 Ge 3.56, 6 Zn 3.60
2 Y 0.0000 0.0000 0.5000  6 Zn 3.13, 6 Ge 3.16
3 Zn 0.6667 0.3333 0.2889  3 Ge 2.49
4 Zn 0.3333 0.6667 0.7111  3 Ge 2.49
5 Ge 0.6667 0.3333 0.7168  3 Zn 2.49
6 Ge 0.3333 0.6667 0.2832  3 Zn 2.49


No. 3
Computed, not measured: a relaxed TaCo2Br crystal at the PBE level of DFT.

Summary:
* E above lowest polymorph: 11.0 kJ/mol of atoms
* DFT total energy: -6.676 eV/atom

Cell lengths 3.7611, 3.7611, 6.0769 Å; angles 90.06, 90.06, 59.98 degrees
Closest atoms and distances in Å follow each position.
Element x y z (fractional)
1 Br 0.1248 0.1248 0.2709  1 Co 2.62, 3 Ta 2.93
2 Co 0.1251 0.1251 0.8400  3 Co 2.19
3 Co 0.7918 0.7918 0.7940  3 Co 2.19
4 Ta 0.4583 0.4583 0.5950  6 Co 2.49-2.63


No. 4
Computed, not measured: a relaxed ZnFeAs4 crystal at the PBE level of DFT.

Summary:
* DFT total energy: -4.072 eV/atom
* DFT formation energy: 0.651 eV per atom

Cell lengths 5.4778, 5.4778, 5.4778 Å; angles 60.00, 60.00, 60.00 degrees
Closest atoms and distances in Å follow each position.
Element x y z (fractional)
1 Zn 0.0000 0.0000 0.0000  12 As 3.21, 4 Fe 3.35
2 Fe 0.7500 0.7500 0.7500  12 As 3.21, 4 Zn 3.35
3 As 0.8754 0.3749 0.3749  6 As 2.74
4 As 0.3749 0.3749 0.8754  6 As 2.74
5 As 0.3749 0.8754 0.3749  6 As 2.74
6 As 0.3749 0.3749 0.3749  6 As 2.74


No. 5
Computed, not measured: a relaxed RbLi2InPt crystal at the PBE level of DFT.

Summary:
* DFT total energy: -2.964 eV/atom
* DFT formation energy: -0.249 eV per atom

Cell lengths 5.2070, 5.2070, 5.2354 Å; angles 90.00, 90.00, 90.00 degrees
Closest atoms and distances in Å follow each position.
Element x y z (fractional)
1 Li 0.0000 0.5000 0.0000  2 Pt 2.60
2 Li 0.5000 0.0000 0.0000  2 Pt 2.60
3 Rb 0.5000 0.5000 0.5000  4 In 3.68, 8 Li 3.69
4 Pt 0.0000 0.0000 0.0000  4 Li 2.60, 2 In 2.62
5 In 0.0000 0.0000 0.5000  2 Pt 2.62


No. 6
Computed, not measured: a relaxed FeOsCl crystal at the PBE level of DFT.

Summary:
* E above lowest polymorph: 17.9 kJ/mol of atoms
* DFT total energy: -6.509 eV/atom

Cell lengths 5.8498, 5.8498, 5.8498 Å; angles 151.94, 151.94, 40.11 degrees
Closest atoms and distances in Å follow each position.
Element x y z (fractional)
1 Os 0.6865 0.6865 0.0000  4 Fe 2.47
2 Fe 0.3180 0.3180 0.0000  4 Os 2.47
3 Cl 0.9955 0.9955 0.0000  4 Fe 2.80, 4 Cl 2.84, 4 Os 2.90


No. 7
Computed, not measured: a relaxed Li4Tl3Cd2 crystal at the PBE level of DFT.

Summary:
* DFT total energy: -2.040 eV/atom
* DFT formation energy: -0.197 eV per atom

Cell lengths 4.8871, 4.8888, 9.1211 Å; angles 89.97, 89.97, 60.02 degrees
Closest atoms and distances in Å follow each position.
Element x y z (fractional)
1 Li 0.6658 0.6672 0.8975  4 Cd 2.85-2.99, 4 Tl 2.88-2.98
2 Li 0.0013 0.9990 0.3234  4 Tl 2.95, 3 Cd 3.01, 1 Li 3.22
3 Li 0.9987 0.0010 0.6766  4 Tl 2.95, 3 Cd 3.01, 1 Li 3.22
4 Li 0.3342 0.3328 0.1025  4 Cd 2.85-2.99, 4 Tl 2.88-2.98
5 Tl 0.3338 0.3331 0.4181  4 Li 2.88-2.95, 3 Tl 3.19-3.20
6 Tl 0.0000 0.0000 0.0000  8 Li 2.95-2.98
7 Tl 0.6662 0.6669 0.5819  4 Li 2.88-2.95, 3 Tl 3.19-3.20
8 Cd 0.3323 0.3341 0.7904  7 Li 2.85-3.01
9 Cd 0.6677 0.6659 0.2096  7 Li 2.85-3.01


No. 8
Computed, not measured: a relaxed PaHg2Ge crystal at the PBE level of DFT.

Summary:
* E above lowest polymorph: 47.9 kJ/mol of atoms
* DFT total energy: -3.311 eV/atom
* DFT formation energy: 0.368 eV per atom

Cell lengths 3.1540, 3.1540, 11.7178 Å; angles 82.27, 82.27, 60.00 degrees
Closest atoms and distances in Å follow each position.
Element x y z (fractional)
1 Ge 0.5000 0.5000 0.5000  6 Ge 3.15, 6 Hg 3.19
2 Pa 0.0000 0.0000 0.0000  6 Pa 3.15, 2 Hg 3.17
3 Hg 0.0912 0.0912 0.7263  6 Hg 3.15, 1 Pa 3.17, 3 Ge 3.19
4 Hg 0.9088 0.9088 0.2737  6 Hg 3.15, 1 Pa 3.17, 3 Ge 3.19


No. 9
Computed, not measured: a relaxed Pm3NdSc crystal at the PBE level of DFT.

Summary:
* E above lowest polymorph: 0.0 kJ/mol of atoms
* DFT total energy: -5.026 eV/atom
* DFT formation energy: 0.045 eV per atom

Cell lengths 3.5856, 10.1199, 9.4523 Å; angles 74.68, 100.93, 90.00 degrees
Closest atoms and distances in Å follow each position.
Element x y z (fractional)
1 Pm 0.0000 0.7507 0.0000  4 Nd 3.56-3.66, 7 Pm 3.56-3.66, 1 Sc 3.62
2 Pm 0.0000 0.2493 0.0000  4 Nd 3.56-3.66, 7 Pm 3.56-3.66, 1 Sc 3.62
3 Pm 0.3960 0.0445 0.7919  3 Sc 3.45-3.46, 9 Pm 3.56-3.72
4 Pm 0.6040 0.9555 0.2081  3 Sc 3.45-3.46, 9 Pm 3.56-3.72
5 Pm 0.2032 0.6574 0.4063  3 Nd 3.47-3.69, 2 Sc 3.52, 7 Pm 3.57-3.66
6 Pm 0.7968 0.3426 0.5937  3 Nd 3.47-3.69, 2 Sc 3.52, 7 Pm 3.57-3.66
7 Nd 0.6027 0.4428 0.2054  7 Pm 3.47-3.69, 3 Nd 3.59-3.67, 2 Sc 3.60
8 Nd 0.3973 0.5572 0.7946  7 Pm 3.47-3.69, 3 Nd 3.59-3.67, 2 Sc 3.60
9 Sc 0.7975 0.8593 0.5949  4 Sc 3.42-3.59, 6 Pm 3.45-3.62, 2 Nd 3.60
10 Sc 0.2025 0.1407 0.4051  4 Sc 3.42-3.59, 6 Pm 3.45-3.62, 2 Nd 3.60


No. 10
Computed, not measured: a relaxed NaIn3Ag2 crystal at the PBE level of DFT.

Summary:
* E above lowest polymorph: 5.0 kJ/mol of atoms
* DFT total energy: -2.546 eV/atom
* DFT formation energy: -0.007 eV per atom

Cell lengths 6.5090, 6.5090, 8.4423 Å; angles 67.33, 67.33, 60.00 degrees
Closest atoms and distances in Å follow each position.
Element x y z (fractional)
1 Na 0.7779 0.7779 0.6664  3 Ag 3.15, 9 In 3.26-3.30
2 Na 0.2221 0.2221 0.3336  3 Ag 3.15, 9 In 3.26-3.30
3 In 0.2342 0.7284 0.3090  3 Ag 2.99-3.01, 4 In 3.22-3.29, 3 Na 3.26-3.30
4 In 0.7284 0.2342 0.3090  3 Ag 2.99-3.01, 4 In 3.22-3.29, 3 Na 3.26-3.30
5 In 0.7284 0.7284 0.3090  3 Ag 2.99-3.01, 4 In 3.22-3.29, 3 Na 3.26-3.30
6 In 0.2716 0.7658 0.6910  3 Ag 2.99-3.01, 4 In 3.22-3.29, 3 Na 3.26-3.30
7 In 0.7658 0.2716 0.6910  3 Ag 2.99-3.01, 4 In 3.22-3.29, 3 Na 3.26-3.30
8 In 0.2716 0.2716 0.6910  3 Ag 2.99-3.01, 4 In 3.22-3.29, 3 Na 3.26-3.30
9 Ag 0.0000 0.0000 0.0000  6 In 3.01, 6 Ag 3.25
10 Ag 0.0000 0.5000 0.0000  4 In 2.99, 2 Na 3.15, 6 Ag 3.25
11 Ag 0.5000 0.5000 0.0000  4 In 2.99, 2 Na 3.15, 6 Ag 3.25
12 Ag 0.5000 0.0000 0.0000  4 In 2.99, 2 Na 3.15, 6 Ag 3.25


No. 11
Computed, not measured: a relaxed SiS2O8F crystal at the PBE level of DFT.

Summary:
* DFT total energy: -5.901 eV/atom

Cell lengths 4.6242, 4.6242, 7.7990 Å; angles 91.52, 91.52, 63.88 degrees
Closest atoms and distances in Å follow each position.
Element x y z (fractional)
1 Si 0.0000 0.0000 0.0000  6 O 1.76-1.79
2 S 0.6562 0.6562 0.1957  4 O 1.42-1.52
3 S 0.3438 0.3438 0.8043  4 O 1.42-1.52
4 O 0.7020 0.2119 0.8393  1 S 1.51
5 O 0.7837 0.7837 0.0537  1 S 1.52
6 O 0.7249 0.7249 0.3661  1 S 1.42
7 O 0.2751 0.2751 0.6339  1 S 1.42
8 O 0.2163 0.2163 0.9463  1 S 1.52
9 O 0.2119 0.7020 0.8393  1 S 1.51
10 O 0.7881 0.2980 0.1607  1 S 1.51
11 O 0.2980 0.7881 0.1607  1 S 1.51
12 F 0.0000 0.0000 0.5000  2 O 2.37


No. 12
Computed, not measured: a relaxed Tb2PuHf crystal at the PBE level of DFT.

Summary:
* E above lowest polymorph: 2.7 kJ/mol of atoms
* DFT total energy: -8.172 eV/atom
* DFT formation energy: 0.214 eV per atom

Cell lengths 4.8197, 4.7730, 4.7730 Å; angles 90.00, 90.00, 90.00 degrees
Closest atoms and distances in Å follow each position.
Element x y z (fractional)
1 Tb 0.0000 0.0000 0.5000  4 Tb 3.38, 4 Hf 3.39, 4 Pu 3.39
2 Tb 0.0000 0.5000 0.0000  4 Tb 3.38, 4 Hf 3.39, 4 Pu 3.39
3 Hf 0.5000 0.5000 0.5000  4 Pu 3.38, 8 Tb 3.39
4 Pu 0.5000 0.0000 0.0000  4 Hf 3.38, 8 Tb 3.39